# 1
Below is crystalline MgSc at its relaxed geometry, with properties calculated at the PBE level.

Cell lengths 3.1502, 3.1502, 11.4633 Å; angles 90.00, 90.00, 120.00 degrees
Fractional coordinates of all 4 atoms:
Sc 0.6667 0.3333 0.5509
Sc 0.3333 0.6667 0.0509
Mg 0.6667 0.3333 0.8201
Mg 0.3333 0.6667 0.3201

Values from the calculation:
Symmetry: No. 186
Uncorrected energy (eV per cell): -15.050
DOS at the Fermi energy (states/eV/f.u.): 2.9
DFT formation energy (meV per atom): 201

***

# 2
Below is crystalline Rb2TlSnO4 at its relaxed geometry, with properties calculated at the PBE level.

Cell lengths 6.2731, 6.2731, 6.2731 Å; angles 91.14, 119.35, 119.35 degrees
Fractional coordinates of all 8 atoms:
O 0.9359 0.5381 0.1605
O 0.0641 0.2246 0.6022
O 0.6224 0.3978 0.4619
O 0.3776 0.8395 0.7754
Tl 0.5000 0.2500 0.7500
Sn 0.0000 0.5000 0.5000
Rb 0.0000 0.0000 0.0000
Rb 0.5000 0.7500 0.2500

Values from the calculation:
Symmetry: No. 82
Uncorrected energy (eV per cell): -38.348
DOS at the Fermi energy (states/eV/f.u.): 3.1
E_form (uncorrected) (eV per atom): -1.2763